Record 1
DFT (PBE) results for Rb2ZrCrBr6 after structural relaxation.

Cell: 11.0070 11.0070 11.0070 Å, 90.00 90.00 90.00°
Space group Fm-3m (No. 225)
Inequivalent atoms, fractional coordinates:
Rb1 0.2500 0.2500 0.2500 x8
Zr1 0.0000 0.0000 0.0000 x4
Cr1 0.0000 0.0000 0.5000 x4
Br1 0.0000 0.0000 0.2484 x24

Properties
**Formation energy without anion corrections**: -1133 kJ/mol of formula units

Record 2
DFT (PBE) results for Ho4Co after structural relaxation.

Cell: 12.3079 12.7717 7.2243 Å, 90.00 90.00 90.00°
Space group Fdd2 (No. 43)
Inequivalent atoms, fractional coordinates:
Ho1 0.1179 0.1671 0.0000 x16
Ho2 0.1199 0.1677 0.5045 x16
Co1 0.0000 0.0000 0.5079 x8

Properties
**E above lowest polymorph**: 0.00 kJ per mole of atoms